1.
CeMgAlPb (PBE, optimized geometry); N(E_F) = 1.10 states/eV per atom; total energy = -0.287 Ry/atom
1.0
-4.3366 1.2790 2.5935
-4.4785 -2.4556 -1.0398
-2.0270 -3.3087 3.4801
Al Ce Mg Pb
1 1 1 1
Direct
0.2500 0.2500 0.2500
0.5000 0.5000 0.5000
0.0000 0.0000 0.0000
0.7500 0.7500 0.7500

***

2.
CeMg2AlPd4 (PBE, optimized geometry); N(E_F) = 0.96 states/eV per atom; total energy = -0.362 Ry/atom
1.0
4.4940 0.0000 0.0000
2.2470 3.8919 0.0000
2.2470 1.2973 8.2255
Pd Mg Al Ce
4 2 1 1
Direct
0.6025 0.6025 0.1925
0.1313 0.1313 0.6061
0.3975 0.3975 0.8075
0.8687 0.8687 0.3939
0.7596 0.7596 0.7213
0.2404 0.2404 0.2787
0.5000 0.5000 0.5000
0.0000 0.0000 0.0000

***

3.
CePmMgAl (PBE, optimized geometry); N(E_F) = 2.11 states/eV per atom; total energy = -0.307 Ry/atom
1.0
-2.9637 -3.5604 -2.5892
-3.1189 -3.3301 2.7105
-5.2738 0.5649 -0.1790
Al Mg Ce Pm
1 1 1 1
Direct
0.5000 0.5000 0.5000
0.0000 0.0000 0.0000
0.7500 0.7500 0.7500
0.2500 0.2500 0.2500

***

4.
CePrMgAl (PBE, optimized geometry); N(E_F) = 2.23 states/eV per atom; total energy = -0.306 Ry/atom
1.0
-3.0317 4.1637 -1.4407
-5.2224 0.0313 1.1529
-1.8972 3.3409 3.7206
Pr Mg Ce Al
1 1 1 1
Direct
0.7500 0.7500 0.7500
0.0000 0.0000 0.0000
0.2500 0.2500 0.2500
0.5000 0.5000 0.5000

***

5.
CeMg2AlPt4 (PBE, optimized geometry); N(E_F) = 0.49 states/eV per atom; total energy = -0.410 Ry/atom
1.0
-1.9563 -3.4678 -1.9768
2.3186 -3.7111 -0.7824
-2.1292 -5.3686 6.5267
Al Ce Pt Mg
1 1 4 2
Direct
0.5000 0.5000 0.5000
0.0000 0.0000 0.0000
0.6023 0.6023 0.1932
0.1331 0.1331 0.6008
0.8669 0.8669 0.3992
0.3977 0.3977 0.8068
0.2420 0.2420 0.2740
0.7580 0.7580 0.7260

***

6.
Ce2MgAl2Rh5 (PBE, optimized geometry); N(E_F) = 0.94 states/eV per atom; total energy = -0.478 Ry/atom
1.0
3.5475 0.0000 0.0000
0.0000 9.9589 0.0000
0.0000 0.0000 9.9589
Rh Ce Mg Al
10 4 2 4
Direct
0.5000 0.7098 0.4276
0.5000 0.4276 0.2902
0.5000 0.0724 0.7902
0.5000 0.5000 0.0000
0.5000 0.7902 0.9276
0.5000 0.0000 0.5000
0.5000 0.2098 0.0724
0.5000 0.9276 0.2098
0.5000 0.5724 0.7098
0.5000 0.2902 0.5724
0.0000 0.6775 0.1775
0.0000 0.8225 0.6775
0.0000 0.1775 0.3225
0.0000 0.3225 0.8225
0.0000 0.0000 0.0000
0.0000 0.5000 0.5000
0.0000 0.3788 0.1212
0.0000 0.8788 0.3788
0.0000 0.6212 0.8788
0.0000 0.1212 0.6212

***

7.
CeMgScAl (PBE, optimized geometry); N(E_F) = 1.47 states/eV per atom; total energy = -0.338 Ry/atom
1.0
-1.7779 4.2469 -2.1466
-4.9860 0.5432 -0.8065
-2.6739 3.3170 2.7664
Mg Sc Ce Al
1 1 1 1
Direct
0.7500 0.7500 0.7500
0.0000 0.0000 0.0000
0.5000 0.5000 0.5000
0.2500 0.2500 0.2500

***

8.
TbCeMgAl (PBE, optimized geometry); N(E_F) = 1.78 states/eV per atom; total energy = -0.306 Ry/atom
1.0
5.2463 0.0000 0.0000
2.6231 4.5434 0.0000
2.6231 1.5145 4.2836
Tb Ce Mg Al
1 1 1 1
Direct
0.7500 0.7500 0.7500
0.2500 0.2500 0.2500
0.0000 0.0000 0.0000
0.5000 0.5000 0.5000

***

9.
CeTmMgAl (PBE, optimized geometry); N(E_F) = 1.70 states/eV per atom; total energy = -0.303 Ry/atom
1.0
5.1964 0.0000 0.0000
2.5982 4.5002 0.0000
2.5982 1.5001 4.2429
Tm Ce Mg Al
1 1 1 1
Direct
0.2500 0.2500 0.2500
0.7500 0.7500 0.7500
0.0000 0.0000 0.0000
0.5000 0.5000 0.5000

***

10.
CeYMgAl (PBE, optimized geometry); N(E_F) = 1.80 states/eV per atom; total energy = -0.341 Ry/atom
1.0
5.2422 0.0000 0.0000
2.6211 4.5399 0.0000
2.6211 1.5133 4.2802
Ce Mg Al Y
1 1 1 1
Direct
0.2500 0.2500 0.2500
0.5000 0.5000 0.5000
0.0000 0.0000 0.0000
0.7500 0.7500 0.7500

***

11.
Ce2MgAl3Zn4 (PBE, optimized geometry); N(E_F) = 1.31 states/eV per atom; total energy = -0.241 Ry/atom
1.0
-1.5819 3.9669 -0.5572
-3.7815 -1.6765 -1.1995
-3.3088 0.1218 10.2610
Al Ce Zn Mg
3 2 4 1
Direct
0.0000 0.0000 0.5000
0.5000 0.0000 0.8697
0.0000 0.5000 0.1303
0.0000 0.5000 0.7635
0.5000 0.0000 0.2365
0.0000 0.0000 0.0000
0.5000 0.0000 0.6423
0.5000 0.5000 0.0000
0.0000 0.5000 0.3577
0.5000 0.5000 0.5000

***

12.
CeMgAlZn2 (PBE, optimized geometry); N(E_F) = 1.63 states/eV per atom; total energy = -0.222 Ry/atom
1.0
4.2923 0.0000 0.0000
0.0000 4.2923 0.0000
-2.1461 -2.1461 5.5851
Zn Al Ce Mg
2 1 1 1
Direct
0.3905 0.3905 0.7809
0.6095 0.6095 0.2191
0.2500 0.7500 0.5000
0.0000 0.0000 0.0000
0.7500 0.2500 0.5000

***

13.
CeMgZrAl (PBE, optimized geometry); N(E_F) = 1.81 states/eV per atom; total energy = -0.371 Ry/atom
1.0
5.0623 0.0000 0.0000
2.5311 4.3841 0.0000
2.5311 1.4614 4.1333
Mg Al Ce Zr
1 1 1 1
Direct
0.5000 0.5000 0.5000
0.0000 0.0000 0.0000
0.2500 0.2500 0.2500
0.7500 0.7500 0.7500

***

14.
CeMnAl (PBE, optimized geometry); N(E_F) = 0.50 states/eV per atom; total energy = -0.466 Ry/atom
1.0
-1.7278 3.5816 -1.9517
-5.1837 -1.7396 1.3966
0.5660 4.4135 7.5984
Ce Al Mn
4 4 4
Direct
0.4038 0.0000 0.5520
0.5962 0.0000 0.0520
0.3890 0.5000 0.5114
0.6110 0.5000 0.0114
0.0947 0.2511 0.2396
0.9053 0.2511 0.7396
0.0947 0.7489 0.2396
0.9053 0.7489 0.7396
0.9265 0.0000 0.4807
0.3980 0.5000 0.7840
0.6020 0.5000 0.2840
0.0735 0.0000 0.9807

***

15.
CeMnAl (PBE, optimized geometry); N(E_F) = 1.63 states/eV per atom; total energy = -0.467 Ry/atom
1.0
-1.8681 -1.3800 -2.2541
3.1898 -3.3537 -0.5904
-3.3997 -0.5422 3.1495
Al Mn Ce
1 1 1
Direct
0.1667 0.6667 0.3333
0.1667 0.0000 0.0000
0.6667 0.3333 0.6667

***

16.
Ce2Mn3Al (PBE, optimized geometry); N(E_F) = 1.74 states/eV per atom; total energy = -0.532 Ry/atom
1.0
-4.9236 -1.6613 -1.3770
2.4404 -2.1026 4.3037
-3.3649 5.9726 4.8261
Al Mn Ce
2 6 4
Direct
0.0000 0.0000 0.0000
0.0000 0.0000 0.5000
0.8293 0.6586 0.2500
0.1707 0.8293 0.7500
0.3414 0.1707 0.2500
0.1707 0.3414 0.7500
0.8293 0.1707 0.2500
0.6586 0.8293 0.7500
0.6667 0.3333 0.5697
0.3333 0.6667 0.4303
0.6667 0.3333 0.9303
0.3333 0.6667 0.0697

***

17.
CeMnAl (PBE, optimized geometry); N(E_F) = 1.13 states/eV per atom; total energy = -0.459 Ry/atom
1.0
-3.3557 -1.1556 0.0078
0.6200 -1.7800 3.0072
0.0616 5.2780 1.0171
Ce Mn Al
1 1 1
Direct
0.2542 0.2542 0.5085
0.0266 0.0266 0.0531
0.5692 0.5692 0.1384

***

18.
Ce2Mn7Al10 (PBE, optimized geometry); N(E_F) = 0.93 states/eV per atom; total energy = -0.460 Ry/atom
1.0
-2.4993 0.9168 -6.1343
-2.5722 -6.1326 -0.7567
-6.2236 1.4818 1.9461
Al Ce Mn
10 2 7
Direct
0.0013 0.7056 0.3017
0.3442 0.3447 0.8458
0.8902 0.8918 0.8902
0.3059 0.9910 0.6851
0.8458 0.3447 0.3442
0.9950 0.2994 0.7019
0.3017 0.7056 0.0013
0.7019 0.2994 0.9950
0.6851 0.9910 0.3059
0.1212 0.1069 0.1212
0.6531 0.6580 0.6531
0.3537 0.3627 0.3537
0.6582 0.1460 0.6582
0.3418 0.8376 0.3418
0.1405 0.6594 0.6637
0.6637 0.6594 0.1405
0.9967 0.5052 0.9967
0.9919 0.9957 0.5082
0.5082 0.9957 0.9919

***

19.
CeMn4Al (PBE, optimized geometry); N(E_F) = 1.75 states/eV per atom; total energy = -0.562 Ry/atom
1.0
4.9875 0.0000 0.0000
2.4938 4.3193 0.0000
2.4938 1.4398 4.0723
Mn Al Ce
4 1 1
Direct
0.6262 0.6262 0.6262
0.1215 0.6262 0.6262
0.6262 0.6262 0.1215
0.6262 0.1215 0.6262
0.0000 0.0000 0.0000
0.2500 0.2500 0.2500

***

20.
Ce2MnAl (PBE, optimized geometry); N(E_F) = 1.45 states/eV per atom; total energy = -0.438 Ry/atom
1.0
3.7152 0.0000 0.0000
1.8576 3.2175 0.0000
1.8576 1.0725 7.8498
Mn Al Ce
1 1 2
Direct
0.0000 0.0000 0.0000
0.5000 0.5000 0.5000
0.7314 0.7314 0.8059
0.2686 0.2686 0.1941